Density functional theory data (PBE-GGA) for an optimized crystal structure of Ga9Hg2Pb.

Output
magnetization: 0.00 μB per cell
energy of formation: 0.07 eV/atom

Lattice parameters (Å, degrees): 8.8856 8.8856 8.8856 39.94 39.94 39.94
With the nearest neighbours (Å) after each atom.
Fractional positions:
Ga 0.0000 0.0000 0.0000  6 Ga 2.68
Ga 0.0995 0.0995 0.5657  5 Ga 2.68-2.83
Ga 0.0995 0.5657 0.0995  5 Ga 2.68-2.83
Ga 0.1614 0.1614 0.1614  6 Ga 2.76-2.81
Ga 0.4343 0.9005 0.9005  5 Ga 2.68-2.83
Ga 0.5657 0.0995 0.0995  5 Ga 2.68-2.83
Ga 0.8386 0.8386 0.8386  6 Ga 2.76-2.81
Ga 0.9005 0.4343 0.9005  5 Ga 2.68-2.83
Ga 0.9005 0.9005 0.4343  5 Ga 2.68-2.83
Hg 0.3669 0.3669 0.3669  9 Ga 3.19-3.23, 1 Pb 3.26
Hg 0.6331 0.6331 0.6331  9 Ga 3.19-3.23, 1 Pb 3.26
Pb 0.5000 0.5000 0.5000  2 Hg 3.26, 6 Ga 3.51